Record 1
VASP calculation (PBE) on an optimized crystal structure of ScSb2Se.

abc: 5.193 5.193 5.193
angles: 109.74 109.74 108.93
Element x y z (fractional)
Sc 0.000 0.000 0.000
Sb 0.000 0.500 0.500
Sb 0.500 0.000 0.500
Se 0.500 0.500 0.000

- crystal system = tetragonal
- ΔE_f (raw) (eV/f.u.) = -1.726
- SG = No. 139

Record 2
VASP calculation (PBE) on an optimized crystal structure of ScSb2Se.

abc: 3.645 3.645 7.413
angles: 90.00 90.00 90.00
Element x y z (fractional)
Sc 0.000 0.000 0.000
Sb 0.000 0.000 0.502
Sb 0.500 0.500 0.728
Se 0.500 0.500 0.149

- crystal system = tetragonal
- ΔE_f (raw) (eV/f.u.) = -2.282
- SG = No. 99